# 1
A plane-wave DFT calculation with PBE was carried out for an optimized crystal structure of Pr7BBr12.

Cell and atoms, written as POSCAR:
```
Pr7BBr12
1.0
7.5872 4.3805 3.4260
-7.5872 4.3805 3.4260
0.0000 -8.7609 3.4260
Pr B Br
7 1 12
direct
0.0000 0.0000 0.0000
0.1863 0.4672 0.3928
0.3928 0.1863 0.4672
0.4672 0.3928 0.1863
0.5328 0.6072 0.8137
0.6072 0.8137 0.5328
0.8137 0.5328 0.6072
0.5000 0.5000 0.5000
0.0279 0.1110 0.3437
0.1110 0.3437 0.0279
0.1885 0.5780 0.7269
0.2731 0.8115 0.4220
0.3437 0.0279 0.1110
0.4220 0.2731 0.8115
0.5780 0.7269 0.1885
0.6563 0.9721 0.8890
0.7269 0.1885 0.5780
0.8115 0.4220 0.2731
0.8890 0.6563 0.9721
0.9721 0.8890 0.6563
```

Output
uncorrected formation energy = -1601.2 meV/atom

---

# 2
A plane-wave DFT calculation with PBE was carried out for an optimized crystal structure of Zr3NpS6.

Cell and atoms, written as POSCAR:
```
Zr3NpS6
1.0
10.6605 0.0000 0.0000
0.0000 3.6877 0.0000
-3.3330 0.0000 10.2462
Zr Np S
6 2 12
direct
0.0683 0.2500 0.1572
0.1842 0.7500 0.5038
0.3616 0.2500 0.9263
0.6384 0.7500 0.0737
0.8158 0.2500 0.4962
0.9317 0.7500 0.8428
0.4553 0.2500 0.3023
0.5447 0.7500 0.6977
0.0159 0.2500 0.3822
0.1105 0.2500 0.9304
0.2361 0.7500 0.2732
0.2989 0.7500 0.7511
0.3734 0.2500 0.5337
0.4080 0.7500 0.1013
0.5920 0.2500 0.8987
0.6266 0.7500 0.4663
0.7011 0.2500 0.2489
0.7639 0.2500 0.7268
0.8895 0.7500 0.0696
0.9841 0.7500 0.6178
```

Output
uncorrected formation energy = -1513.0 meV/atom